Below is a relaxed structure of Pm4Co3CuO12, with properties calculated at the PBE+U level.

a b c (Å): 6.604 6.604 6.604
angles (deg): 109.47 109.47 109.47
Sites, in units of the cell vectors:
Pm: 0.000 0.000 0.500
Pm: 0.000 0.500 0.000
Pm: 0.500 0.000 0.000
Pm: 0.500 0.500 0.500
Co: 0.000 0.500 0.500
Co: 0.500 0.000 0.500
Co: 0.500 0.500 0.000
Cu: 0.000 0.000 0.000
O: 0.000 0.253 0.253
O: 0.000 0.747 0.747
O: 0.250 0.500 0.750
O: 0.250 0.750 0.500
O: 0.253 0.000 0.253
O: 0.253 0.253 0.000
O: 0.500 0.250 0.750
O: 0.500 0.750 0.250
O: 0.747 0.000 0.747
O: 0.747 0.747 0.000
O: 0.750 0.250 0.500
O: 0.750 0.500 0.250

Output
As for the crystal system: cubic. The value obtained for the total energy is -0.254 hartree per atom. The calculation puts the total magnetic moment at 4.94 μB per formula unit.